## Pm2TmOsO8 (PBE)

Data for crystalline Pm2TmOsO8 at its relaxed geometry.

Summary:
The size of the total moment is 1.04 μB/f.u. Its total energy is -94.5 eV per cell.

a b c (Å): 5.129 6.846 5.130
angles (deg): 90.00 90.77 90.00
Space group P2/m (No. 10)
One atom of each set of equivalent atoms:
Pm  0.000  0.248  0.000 (multiplicity 2)
Tm  0.500  0.000  0.500 (multiplicity 1)
Os  0.500  0.500  0.500 (multiplicity 1)
O  0.201  0.000  0.199 (multiplicity 2)
O  0.243  0.500  0.241 (multiplicity 2)
O  0.323  0.288  0.677 (multiplicity 4)